# 1
A relaxed structure of Sc4AlInO. Source: Alexandria via LeMat-Bulk, functional PBE.

* space-group type: Cmcm, No. 63

Structure (POSCAR):
```
Sc4AlInO
1.0
3.0498 -7.5824 0.0000
3.0498 7.5824 0.0000
0.0000 0.0000 6.1038
Sc Al In O
8 2 2 2
direct
0.0000 0.5000 0.0000
0.0000 0.5000 0.5000
0.0861 0.9139 0.7500
0.4096 0.5904 0.7500
0.5000 0.0000 0.0000
0.5000 0.0000 0.5000
0.5904 0.4096 0.2500
0.9139 0.0861 0.2500
0.1126 0.8874 0.2500
0.8874 0.1126 0.7500
0.3926 0.6074 0.2500
0.6074 0.3926 0.7500
0.2504 0.7496 0.7500
0.7496 0.2504 0.2500
```

***

# 2
A relaxed structure of ScAlInO4. Source: Alexandria via LeMat-Bulk, functional PBE.

* space-group type: Imma, No. 74

Structure (POSCAR):
```
ScAlInO4
1.0
-3.0653 3.1728 4.4450
3.0653 -3.1728 4.4450
3.0653 3.1728 -4.4450
Sc Al In O
2 2 2 8
direct
0.0000 0.0000 0.0000
0.5000 0.0000 0.5000
0.3812 0.6312 0.7500
0.6188 0.3688 0.2500
0.0000 0.0000 0.5000
0.0000 0.5000 0.0000
0.2646 0.2679 0.5033
0.2646 0.7614 0.9967
0.2673 0.2451 0.0221
0.2770 0.7549 0.5221
0.7230 0.2451 0.4779
0.7327 0.7549 0.9779
0.7354 0.2386 0.0033
0.7354 0.7321 0.4967
```

***

# 3
A relaxed structure of AlInSe2O. Source: Alexandria via LeMat-Bulk, functional PBE.

* space-group type: P4/mmm, No. 123

Structure (POSCAR):
```
AlInSe2O
1.0
5.2042 0.0000 0.0000
0.0000 5.2042 0.0000
0.0000 0.0000 5.6741
Al In Se O
1 1 2 1
direct
0.0000 0.0000 0.0000
0.0000 0.0000 0.5000
0.0000 0.5000 0.5000
0.5000 0.0000 0.5000
0.5000 0.5000 0.0000
```

***

# 4
A relaxed structure of Sr3Al2InO8. Source: Alexandria via LeMat-Bulk, functional PBE.

* space-group type: P-3m1, No. 164

Structure (POSCAR):
```
Sr3Al2InO8
1.0
5.7265 0.0000 0.0000
-2.8632 4.9593 0.0000
0.0000 0.0000 7.1856
Sr Al In O
3 2 1 8
direct
0.0000 0.0000 0.0000
0.3333 0.6667 0.6521
0.6667 0.3333 0.3479
0.3333 0.6667 0.2164
0.6667 0.3333 0.7836
0.0000 0.0000 0.5000
0.1698 0.3397 0.3134
0.1698 0.8302 0.3134
0.3333 0.6667 0.9751
0.3397 0.1698 0.6866
0.6603 0.8302 0.3134
0.6667 0.3333 0.0249
0.8302 0.1698 0.6866
0.8302 0.6603 0.6866
```

***

no.,formation energy from raw total energies (eV/atom)
1,-1.074
2,-2.395
3,0.977
4,-2.503